[1]
NaPb2W | PBE | optimized geometry

abc: 7.175 7.175 7.175
angles: 90.00 90.00 90.00
Space group Fm-3m (No. 225)
One atom of each set of equivalent atoms:
Na 0.000 0.000 0.000 [4 per cell]
Pb 0.250 0.250 0.250 [8 per cell]
W 0.000 0.000 0.500 [4 per cell]

Properties
Spin magnetization (μB per cell): 8.74
ΔE_f (meV/atom): 812

***

[2]
AgIO3 | PBE | optimized geometry

abc: 15.440 7.272 5.929
angles: 90.00 90.00 90.00
Space group Pca2_1 (No. 29)
One atom of each set of equivalent atoms:
Ag 0.201 0.101 0.000 [4 per cell]
Ag 0.206 0.635 0.991 [4 per cell]
I 0.089 0.864 0.510 [4 per cell]
I 0.090 0.370 0.598 [4 per cell]
O 0.068 0.177 0.797 [4 per cell]
O 0.070 0.565 0.791 [4 per cell]
O 0.105 0.060 0.317 [4 per cell]
O 0.117 0.668 0.324 [4 per cell]
O 0.196 0.874 0.657 [4 per cell]
O 0.209 0.364 0.627 [4 per cell]

Properties
Uncorrected formation energy (eV/atom): -0.284
Spin magnetization (μB per cell): 0.00

***

[3]
PmYIn | PBE | optimized geometry

abc: 5.4860 5.4860 6.7618
angles: 90.00 90.00 120.00
Space group P6_3/mmc (No. 194)
One atom of each set of equivalent atoms:
Pm 0.0000 0.0000 0.0000 [2 per cell]
Y 0.3333 0.6667 0.2500 [2 per cell]
In 0.3333 0.6667 0.7500 [2 per cell]

Properties
Spin magnetization (μB per cell): 0.00
ΔE_f (meV/atom): -371

***

[4]
CsSrNbS4 | PBE | optimized geometry

abc: 7.117 7.095 9.600
angles: 90.00 107.13 90.00
Space group P2_1/m (No. 11)
One atom of each set of equivalent atoms:
Cs 0.225 0.250 0.435 [2 per cell]
Sr 0.271 0.250 0.951 [2 per cell]
Nb 0.280 0.750 0.170 [2 per cell]
S 0.084 0.750 0.322 [2 per cell]
S 0.088 0.750 0.934 [2 per cell]
S 0.490 0.003 0.209 [4 per cell]

Properties
Uncorrected formation energy (eV/atom): -1.433
Spin magnetization (μB per cell): 0.00

***

[5]
RbSCl3 | PBE | optimized geometry

abc: 5.077 5.077 5.077
angles: 90.00 90.00 90.00
Space group Pm-3m (No. 221)
One atom of each set of equivalent atoms:
Rb 0.000 0.000 0.000 [1 per cell]
S 0.500 0.500 0.500 [1 per cell]
Cl 0.000 0.500 0.500 [3 per cell]

Properties
Uncorrected formation energy (eV/atom): -0.720
Spin magnetization (μB per cell): 0.00

***

[6]
PaBO5 | PBE | optimized geometry

abc: 7.793 7.903 7.881
angles: 90.00 117.90 90.00
Space group C2/c (No. 15)
One atom of each set of equivalent atoms:
Pa 0.250 0.250 0.000 [4 per cell]
B 0.000 0.113 0.250 [4 per cell]
O 0.000 0.329 0.750 [4 per cell]
O 0.073 0.215 0.146 [8 per cell]
O 0.156 0.005 0.386 [8 per cell]

Properties
Uncorrected formation energy (eV/atom): -2.321
Spin magnetization (μB per cell): 7.93

***

[7]
Tl2PS3 | PBE | optimized geometry

abc: 7.005 7.088 16.213
angles: 87.74 78.26 63.32
Space group P-1 (No. 2)
One atom of each set of equivalent atoms:
Tl 0.104 0.206 0.063 [2 per cell]
Tl 0.150 0.218 0.452 [2 per cell]
Tl 0.302 0.679 0.159 [2 per cell]
Tl 0.338 0.412 0.693 [2 per cell]
P 0.163 0.973 0.662 [2 per cell]
P 0.399 0.004 0.850 [2 per cell]
S 0.002 0.707 0.346 [2 per cell]
S 0.042 0.134 0.270 [2 per cell]
S 0.123 0.300 0.870 [2 per cell]
S 0.310 0.810 0.547 [2 per cell]
S 0.333 0.795 0.930 [2 per cell]
S 0.442 0.892 0.716 [2 per cell]

Properties
Uncorrected formation energy (eV/atom): -0.345
Spin magnetization (μB per cell): 0.00

***

[8]
La2EuPa | PBE | optimized geometry

abc: 3.509 3.509 10.937
angles: 90.00 90.00 90.00
Space group P4/mmm (No. 123)
One atom of each set of equivalent atoms:
La 0.000 0.000 0.216 [2 per cell]
Eu 0.500 0.500 0.500 [1 per cell]
Pa 0.500 0.500 0.000 [1 per cell]

Properties
Spin magnetization (μB per cell): 7.78
ΔE_f (meV/atom): 144

***

[9]
Na2MnCrI | PBE | optimized geometry

abc: 5.831 5.831 3.978
angles: 90.00 90.00 90.00
Space group P4/mmm (No. 123)
One atom of each set of equivalent atoms:
Na 0.000 0.500 0.000 [2 per cell]
Mn 0.000 0.000 0.000 [1 per cell]
Cr 0.000 0.000 0.500 [1 per cell]
I 0.500 0.500 0.500 [1 per cell]

Properties
Uncorrected formation energy (eV/atom): 0.849
Spin magnetization (μB per cell): 0.15

***

[10]
YFe3Cl | PBE | optimized geometry

abc: 4.956 4.956 4.956
angles: 90.00 90.00 90.00
Space group Pm-3m (No. 221)
One atom of each set of equivalent atoms:
Y 0.000 0.000 0.000 [1 per cell]
Fe 0.000 0.000 0.500 [3 per cell]
Cl 0.500 0.500 0.500 [1 per cell]

Properties
Uncorrected formation energy (eV/atom): 1.813
Spin magnetization (μB per cell): 7.42

***

[11]
LiSmYSn | PBE | optimized geometry

abc: 7.457 7.457 7.457
angles: 90.00 90.00 90.00
Space group F-43m (No. 216)
One atom of each set of equivalent atoms:
Li 0.000 0.000 0.000 [4 per cell]
Sm 0.250 0.250 0.750 [4 per cell]
Y 0.250 0.250 0.250 [4 per cell]
Sn 0.000 0.000 0.500 [4 per cell]

Properties
Spin magnetization (μB per cell): 0.00
ΔE_f (meV/atom): -448

***

[12]
Fe2HgSe | PBE | optimized geometry

abc: 3.0932 3.0932 25.6963
angles: 90.00 90.00 120.00
Space group R3m (No. 160, hexagonal axes)
One atom of each set of equivalent atoms:
Fe 0.0000 0.0000 0.0000 [3 per cell]
Fe 0.0000 0.0000 0.2694 [3 per cell]
Hg 0.0000 0.0000 0.5161 [3 per cell]
Se 0.0000 0.0000 0.7283 [3 per cell]

Properties
Uncorrected formation energy (eV/atom): 0.208
Spin magnetization (μB per cell): 13.90

***

[13]
AsIr2W | PBE | optimized geometry

abc: 5.470 7.873 2.846
angles: 90.00 90.00 90.00
Space group Cmmm (No. 65)
One atom of each set of equivalent atoms:
As 0.000 0.000 0.000 [2 per cell]
Ir 0.250 0.250 0.500 [4 per cell]
W 0.000 0.500 0.000 [2 per cell]

Properties
Spin magnetization (μB per cell): 0.00
ΔE_f (meV/atom): 149

***

[14]
CaCdSi2 | PBE | optimized geometry

abc: 6.206 6.220 4.189
angles: 90.00 90.41 90.00
Space group C2/m (No. 12)
One atom of each set of equivalent atoms:
Ca 0.000 0.000 0.000 [2 per cell]
Cd 0.000 0.500 0.000 [2 per cell]
Si 0.250 0.250 0.500 [4 per cell]

Properties
Uncorrected formation energy (eV/atom): -0.001
Spin magnetization (μB per cell): 0.00

***

[15]
Pr5N4F | PBE | optimized geometry

abc: 12.236 3.679 9.113
angles: 90.00 119.79 90.00
Space group C2/m (No. 12)
One atom of each set of equivalent atoms:
Pr 0.000 0.000 0.000 [2 per cell]
Pr 0.106 0.500 0.386 [4 per cell]
Pr 0.207 0.000 0.814 [4 per cell]
N 0.103 0.500 0.900 [4 per cell]
N 0.199 0.000 0.308 [4 per cell]
F 0.000 0.000 0.500 [2 per cell]

Properties
Uncorrected formation energy (eV/atom): -1.622
Spin magnetization (μB per cell): 0.00

***

[16]
Tm2ScHg3 | PBE | optimized geometry

abc: 3.627 3.627 10.855
angles: 90.00 90.00 90.00
Space group P4/mmm (No. 123)
One atom of each set of equivalent atoms:
Tm 0.000 0.000 0.171 [2 per cell]
Sc 0.000 0.000 0.500 [1 per cell]
Hg 0.500 0.500 0.000 [1 per cell]
Hg 0.500 0.500 0.345 [2 per cell]

Properties
Spin magnetization (μB per cell): 0.00
ΔE_f (meV/atom): -457

***

[17]
Sr3Ni2P3 | PBE | optimized geometry

abc: 4.045 11.052 15.234
angles: 90.00 90.00 90.00
Space group Cmcm (No. 63)
One atom of each set of equivalent atoms:
Sr 0.000 0.039 0.250 [4 per cell]
Sr 0.000 0.342 0.094 [8 per cell]
Ni 0.000 0.374 0.618 [8 per cell]
P 0.000 0.070 0.057 [8 per cell]
P 0.000 0.258 0.750 [4 per cell]

Properties
Spin magnetization (μB per cell): 0.00
ΔE_f (meV/atom): -831

***

[18]
ScP2IrO | PBE | optimized geometry

abc: 4.845 4.845 3.697
angles: 90.00 90.00 90.00
Space group P4/mmm (No. 123)
One atom of each set of equivalent atoms:
Sc 0.000 0.000 0.000 [1 per cell]
P 0.000 0.500 0.500 [2 per cell]
Ir 0.500 0.500 0.500 [1 per cell]
O 0.500 0.500 0.000 [1 per cell]

Properties
Uncorrected formation energy (eV/atom): -0.252
Spin magnetization (μB per cell): 0.00

***

[19]
Sc4ZnRu2 | PBE | optimized geometry

abc: 4.5900 4.5900 21.9266
angles: 90.00 90.00 120.00
Space group R-3m (No. 166, hexagonal axes)
One atom of each set of equivalent atoms:
Sc 0.0000 0.0000 0.1180 [6 per cell]
Sc 0.0000 0.0000 0.3700 [6 per cell]
Zn 0.0000 0.0000 0.5000 [3 per cell]
Ru 0.0000 0.0000 0.2458 [6 per cell]

Properties
Spin magnetization (μB per cell): 0.00
ΔE_f (meV/atom): -422

***

[20]
CePrGaPd | PBE | optimized geometry

abc: 7.332 7.332 7.332
angles: 90.00 90.00 90.00
Space group F-43m (No. 216)
One atom of each set of equivalent atoms:
Ce 0.000 0.000 0.000 [4 per cell]
Pr 0.000 0.000 0.500 [4 per cell]
Ga 0.250 0.250 0.750 [4 per cell]
Pd 0.250 0.250 0.250 [4 per cell]

Properties
Spin magnetization (μB per cell): 2.79
ΔE_f (meV/atom): -512

***

[21]
Mn2InBiW | PBE | optimized geometry

abc: 4.997 4.997 5.652
angles: 90.00 90.00 90.00
Space group P4/mmm (No. 123)
One atom of each set of equivalent atoms:
Mn 0.000 0.500 0.000 [2 per cell]
In 0.000 0.000 0.500 [1 per cell]
Bi 0.000 0.000 0.000 [1 per cell]
W 0.500 0.500 0.500 [1 per cell]

Properties
Spin magnetization (μB per cell): 3.60
ΔE_f (meV/atom): 2005

***

[22]
PrTmTlAu | PBE | optimized geometry

abc: 3.658 3.658 7.871
angles: 90.00 90.00 90.00
Space group P4mm (No. 99)
One atom of each set of equivalent atoms:
Pr 0.000 0.000 0.000 [1 per cell]
Tm 0.000 0.000 0.460 [1 per cell]
Tl 0.500 0.500 0.720 [1 per cell]
Au 0.500 0.500 0.269 [1 per cell]

Properties
Spin magnetization (μB per cell): 0.00
ΔE_f (meV/atom): -605

***

[23]
Pa4P5S | PBE | optimized geometry

abc: 14.582 4.430 6.822
angles: 90.00 90.98 90.00
Space group C2/m (No. 12)
One atom of each set of equivalent atoms:
Pa 0.012 0.000 0.250 [4 per cell]
Pa 0.201 0.500 0.747 [4 per cell]
P 0.000 0.500 0.500 [2 per cell]
P 0.159 0.000 0.514 [4 per cell]
P 0.159 0.000 0.984 [4 per cell]
S 0.000 0.500 0.000 [2 per cell]

Properties
Uncorrected formation energy (eV/atom): -1.054
Spin magnetization (μB per cell): 0.00